# Rb3W2O7

A geometry-optimized Rb3W2O7 structure (GGA+U, Alexandria via LeMat-Bulk).

## Properties
Energy in eV for the cell shown: -75.149
DOS at the Fermi energy in states/eV/f.u.: 1.0
Size of the total moment in μB/atom: 0.00
Crystal system: orthorhombic

Unit cell a=4.0263 b=4.0369 c=12.1521 alpha=99.56 beta=90.00 gamma=90.00
Closest atoms and distances in Å follow each position.
Fractional positions:
1 O 0.0000 0.8363 0.6725  1 W 1.86
2 O 0.0000 0.4157 0.8313  2 W 2.02
3 Rb 0.5000 0.3210 0.6420  8 O 2.87-3.04
4 O 0.0000 0.0000 0.0000  2 W 2.07
5 W 0.0000 0.9138 0.8276  6 O 1.86-2.07
6 O 0.5000 0.0843 0.1686  2 W 2.01
7 Rb 0.5000 0.6790 0.3580  8 O 2.87-3.04
8 W 0.0000 0.0862 0.1724  6 O 1.86-2.07
9 O 0.0000 0.5843 0.1687  2 W 2.02
10 O 0.5000 0.9157 0.8314  2 W 2.01
11 Rb 0.5000 0.5000 0.0000  12 O 2.85-2.86
12 O 0.0000 0.1637 0.3275  1 W 1.86